(1)
The following is a DFT calculation (PBE-GGA) of a geometry-optimized Ti3Al3Cu2Mo structure.

Output
ΔE_f = -1.41 eV per formula unit
DOS(E_F) = 8.03 states/eV/cell
space-group type = No. 189
spin magnetization = 0.000 μB/cell

Unit cell a=7.2494 b=7.2494 c=3.1434 alpha=90.00 beta=90.00 gamma=120.00
Closest atoms and distances in Å follow each position.
Sites, in units of the cell vectors:
Ti  0.0000  0.7186  0.0000  2 Mo 2.58, 2 Cu 2.63
Ti  0.2814  0.2814  0.0000  2 Mo 2.58, 2 Cu 2.63
Ti  0.7186  0.0000  0.0000  2 Mo 2.58, 2 Cu 2.63
Al  0.0000  0.3828  0.5000  4 Cu 2.75, 1 Mo 2.77, 6 Ti 2.90-2.94
Al  0.3828  0.0000  0.5000  4 Cu 2.75, 1 Mo 2.77, 6 Ti 2.90-2.94
Al  0.6172  0.6172  0.5000  4 Cu 2.75, 1 Mo 2.77, 6 Ti 2.90-2.94
Cu  0.3333  0.6667  0.0000  3 Ti 2.63, 6 Al 2.75
Cu  0.6667  0.3333  0.0000  3 Ti 2.63, 6 Al 2.75
Mo  0.0000  0.0000  0.5000  6 Ti 2.58, 3 Al 2.77


(2)
The following is a DFT calculation (PBE-GGA) of a geometry-optimized TiAlCuMo structure.

Output
ΔE_f = -0.29 eV per formula unit
DOS(E_F) = 3.22 states/eV/cell
space-group type = No. 216
spin magnetization = 0.000 μB/cell

Unit cell a=4.3719 b=4.3719 c=4.3719 alpha=60.00 beta=60.00 gamma=60.00
Closest atoms and distances in Å follow each position.
Sites, in units of the cell vectors:
Ti  0.0000  0.0000  0.0000  4 Cu 2.68, 4 Mo 2.68
Al  0.5000  0.5000  0.5000  4 Mo 2.68, 4 Cu 2.68
Cu  0.7500  0.7500  0.7500  4 Al 2.68, 4 Ti 2.68
Mo  0.2500  0.2500  0.2500  4 Al 2.68, 4 Ti 2.68


(3)
The following is a DFT calculation (PBE-GGA) of a geometry-optimized Al3CuN structure.

Output
DOS(E_F) = 2.67 states/eV/cell
energy relative to the elements, uncorrected = -0.06 eV per formula unit
space-group type = No. 221
offset from the most stable computed form = 0.0 meV/atom
spin magnetization = 0.000 μB/cell

Unit cell a=3.9713 b=3.9713 c=3.9713 alpha=90.00 beta=90.00 gamma=90.00
Closest atoms and distances in Å follow each position.
Sites, in units of the cell vectors:
Al  0.0000  0.0000  0.5000  2 N 1.99
Al  0.0000  0.5000  0.0000  2 N 1.99
Al  0.5000  0.0000  0.0000  2 N 1.99
Cu  0.5000  0.5000  0.5000  12 Al 2.81
N  0.0000  0.0000  0.0000  6 Al 1.99


(4)
The following is a DFT calculation (PBE-GGA) of a geometry-optimized AlCuN2 structure.

Output
DOS(E_F) = 5.06 states/eV/cell
energy relative to the elements, uncorrected = -0.27 eV per formula unit
space-group type = No. 122
spin magnetization = 0.000 μB/cell

Unit cell a=5.4727 b=5.4727 c=5.4727 alpha=132.49 beta=132.49 gamma=69.46
Closest atoms and distances in Å follow each position.
Sites, in units of the cell vectors:
Al  0.0000  0.0000  0.0000  4 N 1.89
Al  0.7500  0.2500  0.5000  4 N 1.89
Cu  0.2500  0.7500  0.5000  4 N 1.95
Cu  0.5000  0.5000  0.0000  4 N 1.95
N  0.1124  0.6250  0.9874  2 Al 1.89, 2 Cu 1.95
N  0.3750  0.3624  0.4874  2 Al 1.89, 2 Cu 1.95
N  0.6376  0.1250  0.0126  2 Al 1.89, 2 Cu 1.95
N  0.8750  0.8876  0.5126  2 Al 1.89, 2 Cu 1.95


(5)
The following is a DFT calculation (PBE-GGA) of a geometry-optimized AlCuN2 structure.

Output
DOS(E_F) = 3.25 states/eV/cell
energy relative to the elements, uncorrected = 0.62 eV per formula unit
space-group type = No. 166
spin magnetization = 0.000 μB/cell

Unit cell a=6.0013 b=6.0013 c=6.0013 alpha=28.31 beta=28.31 gamma=28.31
Closest atoms and distances in Å follow each position.
Sites, in units of the cell vectors:
Al  0.0000  0.0000  0.0000  6 N 2.01
Cu  0.5000  0.5000  0.5000  2 N 1.80
N  0.3957  0.3957  0.3957  1 Cu 1.80, 3 Al 2.01
N  0.6043  0.6043  0.6043  1 Cu 1.80, 3 Al 2.01


(6)
The following is a DFT calculation (PBE-GGA) of a geometry-optimized AlCu2N structure.

Output
DOS(E_F) = 0.00 states/eV/cell
energy relative to the elements, uncorrected = 1.84 eV per formula unit
space-group type = No. 122
offset from the most stable computed form = 0.0 meV/atom
spin magnetization = 0.000 μB/cell

Unit cell a=6.3473 b=6.3473 c=6.3473 alpha=135.96 beta=135.96 gamma=64.04
Closest atoms and distances in Å follow each position.
Sites, in units of the cell vectors:
Al  0.0000  0.0000  0.0000  4 Cu 2.60
Al  0.7500  0.2500  0.5000  4 Cu 2.60
Cu  0.2698  0.6250  0.1448  2 N 1.86
Cu  0.3750  0.5198  0.6448  2 N 1.86
Cu  0.4802  0.1250  0.8552  2 N 1.86
Cu  0.8750  0.7302  0.3552  2 N 1.86
N  0.2500  0.7500  0.5000  4 Cu 1.86
N  0.5000  0.5000  0.0000  4 Cu 1.86


(7)
The following is a DFT calculation (PBE-GGA) of a geometry-optimized AlCu2N structure.

Output
DOS(E_F) = 0.00 states/eV/cell
energy relative to the elements, uncorrected = 2.86 eV per formula unit
space-group type = No. 225
offset from the most stable computed form = 254.3 meV/atom
spin magnetization = 0.000 μB/cell

Unit cell a=4.0239 b=4.0239 c=4.0239 alpha=60.00 beta=60.00 gamma=60.00
Closest atoms and distances in Å follow each position.
Sites, in units of the cell vectors:
Al  0.0000  0.0000  0.0000  8 Cu 2.46
Cu  0.2500  0.2500  0.2500  4 Al 2.46, 4 N 2.46
Cu  0.7500  0.7500  0.7500  4 Al 2.46, 4 N 2.46
N  0.5000  0.5000  0.5000  8 Cu 2.46


(8)
The following is a DFT calculation (PBE-GGA) of a geometry-optimized Al3CuN structure.

Output
DOS(E_F) = 1.75 states/eV/cell
energy relative to the elements, uncorrected = 5.00 eV per formula unit
space-group type = No. 221
offset from the most stable computed form = 1011.4 meV/atom
spin magnetization = 1.001 μB/cell

Unit cell a=4.4395 b=4.4395 c=4.4395 alpha=90.00 beta=90.00 gamma=90.00
Closest atoms and distances in Å follow each position.
Sites, in units of the cell vectors:
Al  0.0000  0.0000  0.5000  2 Cu 2.22
Al  0.0000  0.5000  0.0000  2 Cu 2.22
Al  0.5000  0.0000  0.0000  2 Cu 2.22
Cu  0.0000  0.0000  0.0000  6 Al 2.22
N  0.5000  0.5000  0.5000  12 Al 3.14


(9)
The following is a DFT calculation (PBE-GGA) of a geometry-optimized AlCuN2 structure.

Output
DOS(E_F) = 1.37 states/eV/cell
energy relative to the elements, uncorrected = 2.82 eV per formula unit
space-group type = No. 166
spin magnetization = 0.000 μB/cell

Unit cell a=5.9118 b=5.9118 c=5.9118 alpha=29.87 beta=29.87 gamma=29.87
Closest atoms and distances in Å follow each position.
Sites, in units of the cell vectors:
Al  0.0000  0.0000  0.0000  2 N 1.83
Cu  0.5000  0.5000  0.5000  6 N 2.02
N  0.1080  0.1080  0.1080  1 Al 1.83, 3 Cu 2.02
N  0.8920  0.8920  0.8920  1 Al 1.83, 3 Cu 2.02


(10)
The following is a DFT calculation (PBE-GGA) of a geometry-optimized Na2AlCuN structure.

Output
DOS(E_F) = 4.17 states/eV/cell
energy relative to the elements, uncorrected = 1.81 eV per formula unit
space-group type = No. 123
spin magnetization = 0.000 μB/cell

Unit cell a=4.9562 b=4.9562 c=3.6737 alpha=90.00 beta=90.00 gamma=90.00
Closest atoms and distances in Å follow each position.
Sites, in units of the cell vectors:
Na  0.0000  0.5000  0.0000  2 N 2.48
Na  0.5000  0.0000  0.0000  2 N 2.48
Al  0.0000  0.0000  0.5000  8 Na 3.08
Cu  0.5000  0.5000  0.5000  2 N 1.84
N  0.5000  0.5000  0.0000  2 Cu 1.84


(11)
The following is a DFT calculation (PBE-GGA) of a geometry-optimized AlCuN2O structure.

Output
DOS(E_F) = 4.14 states/eV/cell
energy relative to the elements, uncorrected = 5.25 eV per formula unit
space-group type = No. 123
spin magnetization = 0.752 μB/cell

Unit cell a=3.7205 b=3.7205 c=3.7370 alpha=90.00 beta=90.00 gamma=90.00
Closest atoms and distances in Å follow each position.
Sites, in units of the cell vectors:
Al  0.0000  0.0000  0.0000  4 O 2.63, 8 N 2.64
Cu  0.5000  0.5000  0.5000  4 N 1.86, 2 O 1.87
N  0.0000  0.5000  0.5000  2 Cu 1.86
N  0.5000  0.0000  0.5000  2 Cu 1.86
O  0.5000  0.5000  0.0000  2 Cu 1.87


(12)
The following is a DFT calculation (PBE-GGA) of a geometry-optimized AlCuNO2 structure.

Output
DOS(E_F) = 4.15 states/eV/cell
energy relative to the elements, uncorrected = -1.62 eV per formula unit
space-group type = No. 123
spin magnetization = 2.321 μB/cell

Unit cell a=3.6591 b=3.6591 c=3.8436 alpha=90.00 beta=90.00 gamma=90.00
Closest atoms and distances in Å follow each position.
Sites, in units of the cell vectors:
Al  0.0000  0.0000  0.0000  4 O 1.83, 2 N 1.92
Cu  0.5000  0.5000  0.5000  4 N 2.59, 8 O 2.65
N  0.0000  0.0000  0.5000  2 Al 1.92
O  0.0000  0.5000  0.0000  2 Al 1.83
O  0.5000  0.0000  0.0000  2 Al 1.83


(13)
The following is a DFT calculation (PBE-GGA) of a geometry-optimized AlCuNO2 structure.

Output
DOS(E_F) = 2.80 states/eV/cell
energy relative to the elements, uncorrected = 1.64 eV per formula unit
space-group type = No. 123
spin magnetization = 0.000 μB/cell

Unit cell a=3.6577 b=3.6577 c=3.8103 alpha=90.00 beta=90.00 gamma=90.00
Closest atoms and distances in Å follow each position.
Sites, in units of the cell vectors:
Al  0.0000  0.0000  0.0000  4 N 2.59, 8 O 2.64
Cu  0.5000  0.5000  0.5000  4 O 1.83, 2 N 1.91
N  0.5000  0.5000  0.0000  2 Cu 1.91
O  0.0000  0.5000  0.5000  2 Cu 1.83
O  0.5000  0.0000  0.5000  2 Cu 1.83


(14)
The following is a DFT calculation (PBE-GGA) of a geometry-optimized AlCuN2O structure.

Output
DOS(E_F) = 3.96 states/eV/cell
energy relative to the elements, uncorrected = 2.47 eV per formula unit
space-group type = No. 123
spin magnetization = 1.571 μB/cell

Unit cell a=3.7892 b=3.7892 c=3.6335 alpha=90.00 beta=90.00 gamma=90.00
Closest atoms and distances in Å follow each position.
Sites, in units of the cell vectors:
Al  0.0000  0.0000  0.0000  2 O 1.82, 4 N 1.89
Cu  0.5000  0.5000  0.5000  8 N 2.62, 4 O 2.68
N  0.0000  0.5000  0.0000  2 Al 1.89
N  0.5000  0.0000  0.0000  2 Al 1.89
O  0.0000  0.0000  0.5000  2 Al 1.82


(15)
The following is a DFT calculation (PBE-GGA) of a geometry-optimized AlCuPdN2 structure.

Output
DOS(E_F) = 2.70 states/eV/cell
energy relative to the elements, uncorrected = 4.61 eV per formula unit
space-group type = No. 123
spin magnetization = 0.562 μB/cell

Unit cell a=3.6866 b=3.6866 c=4.9290 alpha=90.00 beta=90.00 gamma=90.00
Closest atoms and distances in Å follow each position.
Sites, in units of the cell vectors:
Al  0.0000  0.0000  0.0000  4 N 1.84
Cu  0.5000  0.5000  0.5000  4 Pd 2.61
Pd  0.0000  0.0000  0.5000  2 Al 2.46, 4 Cu 2.61
N  0.0000  0.5000  0.0000  2 Al 1.84
N  0.5000  0.0000  0.0000  2 Al 1.84


(16)
The following is a DFT calculation (PBE-GGA) of a geometry-optimized AlCuRe2N structure.

Output
DOS(E_F) = 4.55 states/eV/cell
energy relative to the elements, uncorrected = 1.86 eV per formula unit
space-group type = No. 123
spin magnetization = 0.000 μB/cell

Unit cell a=4.0061 b=4.0061 c=4.0557 alpha=90.00 beta=90.00 gamma=90.00
Closest atoms and distances in Å follow each position.
Sites, in units of the cell vectors:
Al  0.0000  0.0000  0.0000  2 N 2.03
Cu  0.5000  0.5000  0.0000  4 Al 2.83, 8 Re 2.85
Re  0.0000  0.5000  0.5000  2 N 2.00
Re  0.5000  0.0000  0.5000  2 N 2.00
N  0.0000  0.0000  0.5000  4 Re 2.00, 2 Al 2.03


(17)
The following is a DFT calculation (PBE-GGA) of a geometry-optimized AlCuSN2 structure.

Output
DOS(E_F) = 4.84 states/eV/cell
energy relative to the elements, uncorrected = 4.06 eV per formula unit
space-group type = No. 123
offset from the most stable computed form = 0.0 meV/atom
spin magnetization = 0.004 μB/cell

Unit cell a=3.5761 b=3.5761 c=5.6143 alpha=90.00 beta=90.00 gamma=90.00
Closest atoms and distances in Å follow each position.
Sites, in units of the cell vectors:
Al  0.0000  0.0000  0.0000  4 N 1.79
Cu  0.5000  0.5000  0.5000  4 S 2.53
S  0.0000  0.0000  0.5000  4 Cu 2.53, 2 Al 2.81
N  0.0000  0.5000  0.0000  2 Al 1.79
N  0.5000  0.0000  0.0000  2 Al 1.79


(18)
The following is a DFT calculation (PBE-GGA) of a geometry-optimized AlCuSN2 structure.

Output
DOS(E_F) = 1.70 states/eV/cell
energy relative to the elements, uncorrected = 6.22 eV per formula unit
space-group type = No. 123
offset from the most stable computed form = 433.5 meV/atom
spin magnetization = 2.446 μB/cell

Unit cell a=3.6200 b=3.6200 c=5.7272 alpha=90.00 beta=90.00 gamma=90.00
Closest atoms and distances in Å follow each position.
Sites, in units of the cell vectors:
Al  0.0000  0.0000  0.0000  4 S 2.56
Cu  0.5000  0.5000  0.5000  4 N 1.81
S  0.5000  0.5000  0.0000  4 Al 2.56, 2 Cu 2.86
N  0.0000  0.5000  0.5000  2 Cu 1.81
N  0.5000  0.0000  0.5000  2 Cu 1.81


(19)
The following is a DFT calculation (PBE-GGA) of a geometry-optimized AlCuSeN2 structure.

Output
DOS(E_F) = 2.14 states/eV/cell
energy relative to the elements, uncorrected = 3.77 eV per formula unit
space-group type = No. 123
offset from the most stable computed form = 0.0 meV/atom
spin magnetization = 1.445 μB/cell

Unit cell a=3.6329 b=3.6329 c=5.8354 alpha=90.00 beta=90.00 gamma=90.00
Closest atoms and distances in Å follow each position.
Sites, in units of the cell vectors:
Al  0.0000  0.0000  0.0000  4 N 1.82
Cu  0.5000  0.5000  0.5000  4 Se 2.57
Se  0.0000  0.0000  0.5000  4 Cu 2.57
N  0.0000  0.5000  0.0000  2 Al 1.82
N  0.5000  0.0000  0.0000  2 Al 1.82


(20)
The following is a DFT calculation (PBE-GGA) of a geometry-optimized AlCuSe2N structure.

Output
DOS(E_F) = 7.07 states/eV/cell
energy relative to the elements, uncorrected = 7.92 eV per formula unit
space-group type = No. 123
offset from the most stable computed form = 1099.0 meV/atom
spin magnetization = 0.000 μB/cell

Unit cell a=4.7777 b=4.7777 c=4.6154 alpha=90.00 beta=90.00 gamma=90.00
Closest atoms and distances in Å follow each position.
Sites, in units of the cell vectors:
Al  0.0000  0.0000  0.0000  2 Cu 2.31, 4 Se 2.39
Cu  0.0000  0.0000  0.5000  2 Al 2.31
Se  0.0000  0.5000  0.0000  2 Al 2.39
Se  0.5000  0.0000  0.0000  2 Al 2.39
N  0.5000  0.5000  0.5000  8 Se 3.32, 4 Cu 3.38